#P
# Cs2Si2Au PBE-GGA relaxed
data_Cs2Si2Au
_chemical_formula_sum 'Cs4 Si4 Au2'
_cell_length_a 6.719
_cell_length_b 6.719
_cell_length_c 6.250
_cell_angle_alpha 90.00
_cell_angle_beta 90.00
_cell_angle_gamma 90.00
_space_group_name_H-M_alt 'P 1'
_space_group_IT_number 1
loop_
_space_group_symop_operation_xyz
'x,y,z'
loop_
_atom_site_label
_atom_site_type_symbol
_atom_site_fract_x
_atom_site_fract_y
_atom_site_fract_z
Cs1 Cs 0.183 0.683 0.500
Cs2 Cs 0.683 0.817 0.500
Cs3 Cs 0.817 0.317 0.500
Cs4 Cs 0.317 0.183 0.500
Si1 Si 0.373 0.873 0.000
Si2 Si 0.873 0.627 0.000
Si3 Si 0.627 0.127 0.000
Si4 Si 0.127 0.373 0.000
Au1 Au 0.000 0.000 0.000
Au2 Au 0.500 0.500 0.000
# Crystal system: tetragonal
# Space group: P4/mbm

#Q
# Cs2Si2Au PBE-GGA relaxed
data_Cs2Si2Au
_chemical_formula_sum 'Cs4 Si4 Au2'
_cell_length_a 7.261
_cell_length_b 7.261
_cell_length_c 7.036
_cell_angle_alpha 103.04
_cell_angle_beta 76.96
_cell_angle_gamma 111.01
_space_group_name_H-M_alt 'P 1'
_space_group_IT_number 1
loop_
_space_group_symop_operation_xyz
'x,y,z'
loop_
_atom_site_label
_atom_site_type_symbol
_atom_site_fract_x
_atom_site_fract_y
_atom_site_fract_z
Cs1 Cs 0.782 0.157 0.987
Cs2 Cs 0.157 0.782 0.513
Cs3 Cs 0.218 0.843 0.013
Cs4 Cs 0.843 0.218 0.487
Si1 Si 0.413 0.316 0.384
Si2 Si 0.684 0.587 0.884
Si3 Si 0.316 0.413 0.116
Si4 Si 0.587 0.684 0.616
Au1 Au 0.353 0.353 0.750
Au2 Au 0.647 0.647 0.250
# Crystal system: monoclinic
# Space group: C2/c

Last place for stability: #P